No. 1
Compound: Dy5Tc2
Source: the Alexandria database
Functional: GGA-PBE
Structure: relaxed

Unit cell a=8.494 b=8.494 c=7.442 alpha=96.75 beta=96.75 gamma=43.00
Positions (direct):
1 Dy 0.090 0.910 0.750
2 Dy 0.133 0.301 0.317
3 Dy 0.289 0.528 0.083
4 Dy 0.301 0.133 0.817
5 Dy 0.472 0.711 0.417
6 Dy 0.528 0.289 0.583
7 Dy 0.699 0.867 0.183
8 Dy 0.711 0.472 0.917
9 Dy 0.867 0.699 0.683
10 Dy 0.910 0.090 0.250
11 Tc 0.097 0.684 0.424
12 Tc 0.316 0.903 0.076
13 Tc 0.684 0.097 0.924
14 Tc 0.903 0.316 0.576

Properties
Total magnetization, μB/cell: 0.00
DOS(E_F), states/eV per cell: 9.744
Formation energy from the elements, meV per atom: -78
Volume, A^3/atom: 25.95

=====

No. 2
Compound: Dy3Tc
Source: the Alexandria database
Functional: GGA-PBE
Structure: relaxed

Unit cell a=6.252 b=6.252 c=6.252 alpha=146.38 beta=62.14 gamma=129.39
Positions (direct):
1 Dy 0.000 0.000 0.000
2 Dy 0.299 0.499 0.800
3 Dy 0.700 0.499 0.200
4 Tc 0.509 0.009 0.500

Properties
Total magnetization, μB/cell: 0.00
DOS(E_F), states/eV per cell: 4.648
Formation energy from the elements, meV per atom: 15
Volume, A^3/atom: 25.87

=====

No. 3
Compound: Dy3Tc
Source: the Alexandria database
Functional: GGA-PBE
Structure: relaxed

Unit cell a=3.421 b=3.671 c=8.963 alpha=90.00 beta=90.00 gamma=90.00
Positions (direct):
1 Dy 0.000 0.000 0.000
2 Dy 0.000 0.500 0.342
3 Dy 0.500 0.500 0.715
4 Tc 0.500 0.000 0.493

Properties
Total magnetization, μB/cell: 0.00
DOS(E_F), states/eV per cell: 5.100
Formation energy from the elements, meV per atom: 321
Volume, A^3/atom: 28.13

=====

No. 4
Compound: Dy3Tc
Source: the Alexandria database
Functional: GGA-PBE
Structure: relaxed

Unit cell a=6.097 b=6.097 c=7.539 alpha=97.43 beta=97.43 gamma=123.30
Positions (direct):
1 Dy 0.009 0.342 0.221
2 Dy 0.285 0.285 0.645
3 Dy 0.342 0.009 0.221
4 Dy 0.658 0.991 0.779
5 Dy 0.715 0.715 0.355
6 Dy 0.991 0.658 0.779
7 Tc 0.384 0.616 0.000
8 Tc 0.616 0.384 0.000

Properties
Total magnetization, μB/cell: 0.00
DOS(E_F), states/eV per cell: 7.748
Formation energy from the elements, meV per atom: 119
Volume, A^3/atom: 28.17

=====

Among the records above, which one has the lowest volume? number 2